# SCAN NiB2Pt, single point on PBEsol structure
# calculated volume: 193.19 Å³ per cell
# calculated formation energy: 0.233 eV per atom
# crystal system: tetragonal
data_NiB2Pt
_symmetry_space_group_name_H-M 'I -4 2 d'
_symmetry_Int_Tables_number 122
_symmetry_space_group_name_Hall 'I -4 2bw'
_cell_length_a 4.540
_cell_length_b 4.540
_cell_length_c 9.374
_cell_angle_alpha 90.00
_cell_angle_beta 90.00
_cell_angle_gamma 90.00
loop_
_atom_site_label
_atom_site_fract_x
_atom_site_fract_y
_atom_site_fract_z
Ni1 0.000 0.000 0.000
B1 0.231 0.250 0.125
Pt1 0.000 0.000 0.500

=====

# SCAN MgInCl3, single point on PBEsol structure
# calculated volume: 119.39 Å³ per cell
# crystal system: cubic
# ΔE_f (raw): -768 kJ/mol of formula units
data_MgInCl3
_symmetry_space_group_name_H-M 'P m -3 m'
_symmetry_Int_Tables_number 221
_symmetry_space_group_name_Hall '-P 4 2 3'
_cell_length_a 4.924
_cell_length_b 4.924
_cell_length_c 4.924
_cell_angle_alpha 90.00
_cell_angle_beta 90.00
_cell_angle_gamma 90.00
loop_
_atom_site_label
_atom_site_fract_x
_atom_site_fract_y
_atom_site_fract_z
Mg1 0.000 0.000 0.000
In1 0.500 0.500 0.500
Cl1 0.000 0.000 0.500

=====

# SCAN SrIr2Se, single point on PBEsol structure
# calculated volume: 72.24 Å³ per cell
# crystal system: tetragonal
# ΔE_f (raw): 127 kJ/mol of formula units
data_SrIr2Se
_symmetry_space_group_name_H-M 'P 4/m m m'
_symmetry_Int_Tables_number 123
_symmetry_space_group_name_Hall '-P 4 2'
_cell_length_a 4.063
_cell_length_b 4.063
_cell_length_c 4.375
_cell_angle_alpha 90.00
_cell_angle_beta 90.00
_cell_angle_gamma 90.00
loop_
_atom_site_label
_atom_site_fract_x
_atom_site_fract_y
_atom_site_fract_z
Sr1 0.000 0.000 0.000
Ir1 0.000 0.500 0.500
Se1 0.500 0.500 0.000

=====

# SCAN Sn2HgBi2, single point on PBEsol structure
# calculated volume: 328.54 Å³ per cell
# calculated formation energy: 0.143 eV per atom
# crystal system: tetragonal
data_Sn2HgBi2
_symmetry_space_group_name_H-M 'I 4/m m m'
_symmetry_Int_Tables_number 139
_symmetry_space_group_name_Hall '-I 4 2'
_cell_length_a 4.806
_cell_length_b 4.806
_cell_length_c 14.226
_cell_angle_alpha 90.00
_cell_angle_beta 90.00
_cell_angle_gamma 90.00
loop_
_atom_site_label
_atom_site_fract_x
_atom_site_fract_y
_atom_site_fract_z
Sn1 0.000 0.500 0.250
Hg1 0.000 0.000 0.000
Bi1 0.000 0.000 0.387

=====

# SCAN MgRh3, single point on PBEsol structure
# calculated volume: 111.56 Å³ per cell
# calculated formation energy: -0.304 eV per atom
# crystal system: orthorhombic
data_MgRh3
_symmetry_space_group_name_H-M 'I m m 2'
_symmetry_Int_Tables_number 44
_cell_length_a 2.734
_cell_length_b 8.685
_cell_length_c 4.697
_cell_angle_alpha 90.00
_cell_angle_beta 90.00
_cell_angle_gamma 90.00
loop_
_symmetry_equiv_pos_as_xyz
'x,y,z'
'-x,-y,z'
'-x,y,z'
'x,-y,z'
'x+1/2,y+1/2,z+1/2'
'-x+1/2,-y+1/2,z+1/2'
'-x+1/2,y+1/2,z+1/2'
'x+1/2,-y+1/2,z+1/2'
loop_
_atom_site_label
_atom_site_fract_x
_atom_site_fract_y
_atom_site_fract_z
Mg1 0.000 0.000 0.000
Rh1 0.000 0.246 0.329
Rh2 0.000 0.500 0.012

=====

# SCAN MoAs2P, single point on PBEsol structure
# calculated volume: 200.13 Å³ per cell
# calculated formation energy: 0.099 eV per atom
# crystal system: trigonal
data_MoAs2P
_symmetry_space_group_name_H-M 'R 3 m'
_symmetry_Int_Tables_number 160
_symmetry_space_group_name_Hall 'R 3 -2"'
_cell_length_a 3.0206
_cell_length_b 3.0206
_cell_length_c 25.3275
_cell_angle_alpha 90.00
_cell_angle_beta 90.00
_cell_angle_gamma 120.00
loop_
_atom_site_label
_atom_site_fract_x
_atom_site_fract_y
_atom_site_fract_z
Mo1 0.0000 0.0000 0.0000
As1 0.0000 0.0000 0.2575
As2 0.0000 0.0000 0.4859
P1 0.0000 0.0000 0.7335

=====

# SCAN MgBe2Ag, single point on PBEsol structure
# calculated volume: 210.30 Å³ per cell
# calculated formation energy: 0.199 eV per atom
# crystal system: cubic
data_MgBe2Ag
_symmetry_space_group_name_H-M 'F -4 3 m'
_symmetry_Int_Tables_number 216
_symmetry_space_group_name_Hall 'F -4 2 3'
_cell_length_a 5.947
_cell_length_b 5.947
_cell_length_c 5.947
_cell_angle_alpha 90.00
_cell_angle_beta 90.00
_cell_angle_gamma 90.00
loop_
_atom_site_label
_atom_site_fract_x
_atom_site_fract_y
_atom_site_fract_z
Mg1 0.000 0.000 0.000
Be1 0.000 0.000 0.500
Be2 0.250 0.250 0.250
Ag1 0.250 0.250 0.750

=====

# SCAN MgMoSN2, single point on PBEsol structure
# calculated volume: 73.11 Å³ per cell
# crystal system: tetragonal
# ΔE_f (raw): -87 kJ/mol of formula units
data_MgMoSN2
_symmetry_space_group_name_H-M 'P 4/m m m'
_symmetry_Int_Tables_number 123
_symmetry_space_group_name_Hall '-P 4 2'
_cell_length_a 3.841
_cell_length_b 3.841
_cell_length_c 4.957
_cell_angle_alpha 90.00
_cell_angle_beta 90.00
_cell_angle_gamma 90.00
loop_
_atom_site_label
_atom_site_fract_x
_atom_site_fract_y
_atom_site_fract_z
Mg1 0.000 0.000 0.000
Mo1 0.500 0.500 0.500
S1 0.500 0.500 0.000
N1 0.000 0.500 0.500

=====

# SCAN SrLaMgRuO6, single point on PBEsol structure
# calculated volume: 242.35 Å³ per cell
# crystal system: monoclinic
# ΔE_f (raw): -2628 kJ/mol of formula units
data_SrLaMgRuO6
_symmetry_space_group_name_H-M 'P 1 c 1'
_symmetry_Int_Tables_number 7
_cell_length_a 5.547
_cell_length_b 5.574
_cell_length_c 9.592
_cell_angle_alpha 90.00
_cell_angle_beta 125.20
_cell_angle_gamma 90.00
loop_
_symmetry_equiv_pos_as_xyz
'x,y,z'
'x,-y,z+1/2'
loop_
_atom_site_label
_atom_site_fract_x
_atom_site_fract_y
_atom_site_fract_z
Sr1 0.000 0.221 0.000
La1 0.488 0.287 0.501
Mg1 0.745 0.246 0.250
Ru1 0.245 0.249 0.750
O1 0.008 0.466 0.783
O2 0.080 0.031 0.289
O3 0.424 0.479 0.214
O4 0.486 0.044 0.711
O5 0.549 0.267 0.993
O6 0.924 0.240 0.507

=====

# SCAN KPbS2, single point on PBEsol structure
# calculated volume: 569.57 Å³ per cell
# crystal system: tetragonal
# ΔE_f (raw): -251 kJ/mol of formula units
data_KPbS2
_symmetry_space_group_name_H-M 'I -4 2 d'
_symmetry_Int_Tables_number 122
_symmetry_space_group_name_Hall 'I -4 2bw'
_cell_length_a 6.954
_cell_length_b 6.954
_cell_length_c 11.778
_cell_angle_alpha 90.00
_cell_angle_beta 90.00
_cell_angle_gamma 90.00
loop_
_atom_site_label
_atom_site_fract_x
_atom_site_fract_y
_atom_site_fract_z
K1 0.000 0.000 0.000
Pb1 0.000 0.000 0.500
S1 0.188 0.750 0.625

=====

# SCAN Na3HOs, single point on PBEsol structure
# final energy: -16.653 eV/atom
# calculated volume: 91.54 Å³ per cell
# crystal system: cubic
data_Na3HOs
_symmetry_space_group_name_H-M 'P m -3 m'
_symmetry_Int_Tables_number 221
_symmetry_space_group_name_Hall '-P 4 2 3'
_cell_length_a 4.507
_cell_length_b 4.507
_cell_length_c 4.507
_cell_angle_alpha 90.00
_cell_angle_beta 90.00
_cell_angle_gamma 90.00
loop_
_atom_site_label
_atom_site_fract_x
_atom_site_fract_y
_atom_site_fract_z
Na1 0.000 0.000 0.500
H1 0.000 0.000 0.000
Os1 0.500 0.500 0.500

=====

# SCAN KBe2Al, single point on PBEsol structure
# calculated volume: 195.91 Å³ per cell
# calculated formation energy: 0.832 eV per atom
# crystal system: trigonal
data_KBe2Al
_symmetry_space_group_name_H-M 'R -3 m'
_symmetry_Int_Tables_number 166
_symmetry_space_group_name_Hall '-R 3 2"'
_cell_length_a 2.8053
_cell_length_b 2.8053
_cell_length_c 28.7451
_cell_angle_alpha 90.00
_cell_angle_beta 90.00
_cell_angle_gamma 120.00
loop_
_atom_site_label
_atom_site_fract_x
_atom_site_fract_y
_atom_site_fract_z
K1 0.0000 0.0000 0.0000
Be1 0.0000 0.0000 0.2351
Al1 0.0000 0.0000 0.5000

=====

# SCAN BaSrCu, single point on PBEsol structure
# calculated volume: 210.69 Å³ per cell
# calculated formation energy: 0.053 eV per atom
# crystal system: tetragonal
data_BaSrCu
_symmetry_space_group_name_H-M 'I 4 m m'
_symmetry_Int_Tables_number 107
_symmetry_space_group_name_Hall 'I 4 -2'
_cell_length_a 3.853
_cell_length_b 3.853
_cell_length_c 14.190
_cell_angle_alpha 90.00
_cell_angle_beta 90.00
_cell_angle_gamma 90.00
loop_
_atom_site_label
_atom_site_fract_x
_atom_site_fract_y
_atom_site_fract_z
Ba1 0.000 0.000 0.000
Sr1 0.000 0.000 0.254
Cu1 0.000 0.000 0.634

=====

# SCAN TaTl2N, single point on PBEsol structure
# calculated volume: 301.46 Å³ per cell
# crystal system: cubic
# ΔE_f (raw): 679 kJ/mol of formula units
data_TaTl2N
_symmetry_space_group_name_H-M 'F m -3 m'
_symmetry_Int_Tables_number 225
_symmetry_space_group_name_Hall '-F 4 2 3'
_cell_length_a 6.705
_cell_length_b 6.705
_cell_length_c 6.705
_cell_angle_alpha 90.00
_cell_angle_beta 90.00
_cell_angle_gamma 90.00
loop_
_atom_site_label
_atom_site_fract_x
_atom_site_fract_y
_atom_site_fract_z
Ta1 0.000 0.000 0.000
Tl1 0.250 0.250 0.250
N1 0.000 0.000 0.500

=====

# SCAN LaMnMo2, single point on PBEsol structure
# calculated volume: 205.68 Å³ per cell
# calculated formation energy: 0.726 eV per atom
# crystal system: trigonal
# ΔE to the lowest computed polymorph: 211 meV/atom
data_LaMnMo2
_symmetry_space_group_name_H-M 'R -3 m'
_symmetry_Int_Tables_number 166
_symmetry_space_group_name_Hall '-R 3 2"'
_cell_length_a 2.8956
_cell_length_b 2.8956
_cell_length_c 28.3251
_cell_angle_alpha 90.00
_cell_angle_beta 90.00
_cell_angle_gamma 120.00
loop_
_atom_site_label
_atom_site_fract_x
_atom_site_fract_y
_atom_site_fract_z
La1 0.0000 0.0000 0.0000
Mn1 0.0000 0.0000 0.5000
Mo1 0.0000 0.0000 0.2334

=====

# SCAN InPb5, single point on PBEsol structure
# calculated volume: 346.63 Å³ per cell
# calculated formation energy: 0.040 eV per atom
# crystal system: monoclinic
# ΔE to the lowest computed polymorph: 20 meV/atom
data_InPb5
_symmetry_space_group_name_H-M 'C 1 m 1'
_symmetry_Int_Tables_number 8
_cell_length_a 12.800
_cell_length_b 3.440
_cell_length_c 8.205
_cell_angle_alpha 90.00
_cell_angle_beta 106.39
_cell_angle_gamma 90.00
loop_
_symmetry_equiv_pos_as_xyz
'x,y,z'
'x,-y,z'
'x+1/2,y+1/2,z'
'x+1/2,-y+1/2,z'
loop_
_atom_site_label
_atom_site_fract_x
_atom_site_fract_y
_atom_site_fract_z
In1 0.000 0.000 0.000
Pb1 0.053 0.000 0.611
Pb2 0.165 0.500 0.332
Pb3 0.219 0.500 0.944
Pb4 0.335 0.000 0.671
Pb5 0.390 0.000 0.271

=====

# SCAN CaWBr2, single point on PBEsol structure
# calculated volume: 255.34 Å³ per cell
# crystal system: trigonal
# ΔE_f (raw): 86 kJ/mol of formula units
data_CaWBr2
_symmetry_space_group_name_H-M 'R -3 m'
_symmetry_Int_Tables_number 166
_symmetry_space_group_name_Hall '-R 3 2"'
_cell_length_a 3.2660
_cell_length_b 3.2660
_cell_length_c 27.6400
_cell_angle_alpha 90.00
_cell_angle_beta 90.00
_cell_angle_gamma 120.00
loop_
_atom_site_label
_atom_site_fract_x
_atom_site_fract_y
_atom_site_fract_z
Ca1 0.0000 0.0000 0.0000
W1 0.0000 0.0000 0.5000
Br1 0.0000 0.0000 0.4100

=====

# SCAN CoSb3, single point on PBEsol structure
# calculated volume: 88.60 Å³ per cell
# crystal system: hexagonal
# ΔE_f (raw): 123 kJ/mol of formula units
# ΔE to the lowest computed polymorph: 489 meV/atom
data_CoSb3
_symmetry_space_group_name_H-M 'P -6 m 2'
_symmetry_Int_Tables_number 187
_symmetry_space_group_name_Hall 'P -6 2'
_cell_length_a 3.3270
_cell_length_b 3.3270
_cell_length_c 9.2425
_cell_angle_alpha 90.00
_cell_angle_beta 90.00
_cell_angle_gamma 120.00
loop_
_atom_site_label
_atom_site_fract_x
_atom_site_fract_y
_atom_site_fract_z
Co1 0.0000 0.0000 0.0000
Sb1 0.0000 0.0000 0.5000
Sb2 0.3333 0.6667 0.1829

=====

# SCAN TcIrRu2, single point on PBEsol structure
# calculated volume: 54.34 Å³ per cell
# calculated formation energy: -0.182 eV per atom
# crystal system: orthorhombic
data_TcIrRu2
_symmetry_space_group_name_H-M 'P m m 2'
_symmetry_Int_Tables_number 25
_cell_length_a 2.702
_cell_length_b 4.286
_cell_length_c 4.693
_cell_angle_alpha 90.00
_cell_angle_beta 90.00
_cell_angle_gamma 90.00
loop_
_symmetry_equiv_pos_as_xyz
'x,y,z'
'-x,-y,z'
'-x,y,z'
'x,-y,z'
loop_
_atom_site_label
_atom_site_fract_x
_atom_site_fract_y
_atom_site_fract_z
Tc1 0.000 0.000 0.000
Ir1 0.500 0.500 0.826
Ru1 0.000 0.500 0.327
Ru2 0.500 0.000 0.489

=====

# SCAN RbGaSb2, single point on PBEsol structure
# calculated volume: 602.08 Å³ per cell
# crystal system: tetragonal
# ΔE_f (raw): -45 kJ/mol of formula units
data_RbGaSb2
_symmetry_space_group_name_H-M 'I -4 2 d'
_symmetry_Int_Tables_number 122
_symmetry_space_group_name_Hall 'I -4 2bw'
_cell_length_a 5.764
_cell_length_b 5.764
_cell_length_c 18.121
_cell_angle_alpha 90.00
_cell_angle_beta 90.00
_cell_angle_gamma 90.00
loop_
_atom_site_label
_atom_site_fract_x
_atom_site_fract_y
_atom_site_fract_z
Rb1 0.000 0.000 0.000
Ga1 0.000 0.000 0.500
Sb1 0.092 0.250 0.625